[1]
A plane-wave DFT calculation with PBE was carried out for a geometry-optimized LiCa2CuH6 structure.

Results
The value obtained for the mass density is 2.707 Mg/m³. The space group is R-3m (166). As for the total DFT energy (no corrections): -3.38 eV per atom.

Cell: 5.108 5.108 9.004 Å, 73.52 73.52 60.00°
Sites, in units of the cell vectors:
H 0.714 0.203 0.880
H 0.797 0.286 0.120
H 0.881 0.371 0.377
H 0.797 0.797 0.120
H 0.203 0.203 0.880
H 0.119 0.629 0.623
H 0.629 0.629 0.623
H 0.286 0.797 0.120
H 0.371 0.371 0.377
H 0.203 0.714 0.880
H 0.371 0.881 0.377
H 0.629 0.119 0.623
Cu 0.000 0.000 0.000
Cu 0.500 0.500 0.500
Ca 0.873 0.873 0.381
Ca 0.710 0.710 0.870
Ca 0.127 0.127 0.619
Ca 0.290 0.290 0.130
Li 0.590 0.590 0.231
Li 0.410 0.410 0.769

---

[2]
A plane-wave DFT calculation with PBE was carried out for a geometry-optimized TbTh2ZrN4 structure.

Results
The value obtained for the mass density is 10.406 Mg/m³. The space group is P2/m (10). The calculation puts the formation energy without anion corrections at -1.581 eV per atom.

Cell: 3.496 6.079 6.123 Å, 109.17 90.00 90.00°
Sites, in units of the cell vectors:
N 0.500 0.767 0.772
N 0.000 0.243 0.765
N 0.500 0.233 0.228
N 0.000 0.757 0.235
Tb 0.500 0.500 0.000
Th 0.000 0.500 0.500
Th 0.500 0.000 0.500
Zr 0.000 0.000 0.000